P) Material: Pm3Sm3Dy
Method: DFT, PBE
State: optimized geometry

Output
M_tot	0.00	μB per formula unit

a = 5.8239 Å, b = 9.7188 Å, c = 9.7188 Å
α = 120.00°, β = 90.00°, γ = 90.00°
Element x y z (fractional)
Pm: 0.2500 0.8074 0.7603
Pm: 0.2500 0.2397 0.0471
Pm: 0.2500 0.9529 0.1926
Pm: 0.7500 0.1926 0.2397
Pm: 0.7500 0.7603 0.9529
Pm: 0.7500 0.0471 0.8074
Sm: 0.7500 0.6185 0.5235
Sm: 0.7500 0.4765 0.0950
Sm: 0.7500 0.9050 0.3815
Sm: 0.2500 0.3815 0.4765
Sm: 0.2500 0.5235 0.9050
Sm: 0.2500 0.0950 0.6185
Dy: 0.2500 0.6667 0.3333
Dy: 0.7500 0.3333 0.6667

---

Q) Material: Pm3Sm3Dy
Method: DFT, PBE
State: optimized geometry

Output
M_tot	0.00	μB per formula unit

a = 8.9411 Å, b = 8.9411 Å, c = 8.9411 Å
α = 58.66°, β = 58.66°, γ = 58.66°
Element x y z (fractional)
Pm: 0.7197 0.5672 0.0689
Pm: 0.0689 0.7197 0.5672
Pm: 0.5672 0.0689 0.7197
Pm: 0.4328 0.9311 0.2803
Pm: 0.9311 0.2803 0.4328
Pm: 0.2803 0.4328 0.9311
Sm: 0.7085 0.1787 0.9377
Sm: 0.1787 0.9377 0.7085
Sm: 0.9377 0.7085 0.1787
Sm: 0.0623 0.2915 0.8213
Sm: 0.8213 0.0623 0.2915
Sm: 0.2915 0.8213 0.0623
Dy: 0.3454 0.3454 0.3454
Dy: 0.6546 0.6546 0.6546

---

From most stable to least stable, the computed energies give P), Q).

---

P) Material: Pm5Sm2Dy
Method: DFT, PBE
State: optimized geometry

Output
M_tot	0.00	μB per formula unit

a = 10.1169 Å, b = 6.6413 Å, c = 10.8589 Å
α = 117.96°, β = 117.76°, γ = 90.00°
Element x y z (fractional)
Pm: 0.4956 0.4585 0.8059
Pm: 0.9394 0.7500 0.0000
Pm: 0.0606 0.2500 0.0000
Pm: 0.8816 0.6190 0.5924
Pm: 0.1184 0.3810 0.4076
Pm: 0.7108 0.1190 0.5924
Pm: 0.2892 0.8810 0.4076
Pm: 0.5044 0.5415 0.1941
Pm: 0.3103 0.9585 0.8059
Pm: 0.6897 0.0415 0.1941
Sm: 0.1753 0.4720 0.8361
Sm: 0.6608 0.9720 0.8361
Sm: 0.8247 0.5280 0.1639
Sm: 0.3392 0.0280 0.1639
Dy: 0.0000 0.0000 0.5000
Dy: 0.5000 0.5000 0.5000

---

Q) Material: Pm5Sm2Dy
Method: DFT, PBE
State: optimized geometry

Output
M_tot	0.00	μB per formula unit

a = 5.1238 Å, b = 7.2672 Å, c = 14.5429 Å
α = 90.00°, β = 90.00°, γ = 90.00°
Element x y z (fractional)
Pm: 0.0000 0.0000 0.0000
Pm: 0.0000 0.5000 0.5000
Pm: 0.0000 0.4991 0.7509
Pm: 0.0000 0.5009 0.2491
Pm: 0.0000 0.0009 0.2509
Pm: 0.0000 0.9991 0.7491
Pm: 0.5000 0.2497 0.8756
Pm: 0.5000 0.7503 0.1244
Pm: 0.5000 0.2503 0.3756
Pm: 0.5000 0.7497 0.6244
Sm: 0.5000 0.2491 0.6243
Sm: 0.5000 0.7509 0.3757
Sm: 0.5000 0.2509 0.1243
Sm: 0.5000 0.7491 0.8757
Dy: 0.0000 0.0000 0.5000
Dy: 0.0000 0.5000 0.0000

---

From most stable to least stable, the computed energies give Q), P).

---

P) Material: Pm12Sm2Dy5
Method: DFT, PBE
State: optimized geometry

Output
M_tot	0.00	μB per formula unit

a = 11.7255 Å, b = 10.7239 Å, c = 6.2309 Å
α = 100.60°, β = 90.00°, γ = 123.14°
Element x y z (fractional)
Pm: 0.1222 0.2445 0.9969
Pm: 0.0594 0.6035 0.7998
Pm: 0.5441 0.6035 0.7998
Pm: 0.1466 0.7928 0.3844
Pm: 0.6462 0.7928 0.3844
Pm: 0.4442 0.8884 0.7259
Pm: 0.5558 0.1116 0.2741
Pm: 0.8534 0.2072 0.6156
Pm: 0.3538 0.2072 0.6156
Pm: 0.9406 0.3965 0.2002
Pm: 0.4559 0.3965 0.2002
Pm: 0.8778 0.7555 0.0031
Sm: 0.7734 0.0000 0.0000
Sm: 0.2266 0.0000 0.0000
Dy: 0.2145 0.4289 0.5494
Dy: 0.3230 0.6459 0.1411
Dy: 0.0000 0.0000 0.5000
Dy: 0.6770 0.3541 0.8589
Dy: 0.7855 0.5711 0.4506

---

Q) Material: Pm12Sm2Dy5
Method: DFT, PBE
State: optimized geometry

Output
M_tot	0.00	μB per formula unit

a = 10.1782 Å, b = 9.4620 Å, c = 7.9961 Å
α = 89.02°, β = 90.00°, γ = 122.54°
Element x y z (fractional)
Pm: 0.8442 0.6884 0.1212
Pm: 0.0390 0.6165 0.7936
Pm: 0.5775 0.6165 0.7936
Pm: 0.1682 0.7886 0.3887
Pm: 0.6203 0.7886 0.3887
Pm: 0.4483 0.8966 0.7104
Pm: 0.5517 0.1034 0.2896
Pm: 0.8318 0.2114 0.6113
Pm: 0.3797 0.2114 0.6113
Pm: 0.9610 0.3835 0.2064
Pm: 0.4225 0.3835 0.2064
Pm: 0.1558 0.3116 0.8788
Sm: 0.7677 0.0000 0.0000
Sm: 0.2323 0.0000 0.0000
Dy: 0.2464 0.4928 0.5109
Dy: 0.3518 0.7036 0.0833
Dy: 0.0000 0.0000 0.5000
Dy: 0.6482 0.2964 0.9167
Dy: 0.7536 0.5072 0.4891

---

From most stable to least stable, the computed energies give P), Q).

---

P) Material: Pm2Sm8Dy
Method: DFT, PBE
State: optimized geometry

Output
M_tot	0.00	μB per formula unit

a = 5.1239 Å, b = 8.1114 Å, c = 9.5778 Å
α = 104.74°, β = 105.51°, γ = 90.00°
Element x y z (fractional)
Pm: 0.2270 0.6364 0.4539
Pm: 0.7730 0.3636 0.5461
Sm: 0.5904 0.4529 0.1808
Sm: 0.3186 0.0908 0.6372
Sm: 0.1358 0.1803 0.2715
Sm: 0.0452 0.7283 0.0905
Sm: 0.8642 0.8197 0.7285
Sm: 0.6814 0.9092 0.3628
Sm: 0.4096 0.5471 0.8192
Sm: 0.9548 0.2717 0.9095
Dy: 0.5000 0.0000 0.0000

---

Q) Material: Pm2Sm8Dy
Method: DFT, PBE
State: optimized geometry

Output
M_tot	0.00	μB per formula unit

a = 6.7565 Å, b = 10.3319 Å, c = 10.3319 Å
α = 38.34°, β = 59.54°, γ = 59.54°
Element x y z (fractional)
Pm: 0.5929 0.8020 0.8020
Pm: 0.4071 0.1980 0.1980
Sm: 0.2291 0.3501 0.8251
Sm: 0.7709 0.1749 0.6499
Sm: 0.1762 0.7560 0.7560
Sm: 0.8238 0.2440 0.2440
Sm: 0.2291 0.8251 0.3501
Sm: 0.7709 0.6499 0.1749
Sm: 0.7305 0.5900 0.5900
Sm: 0.2695 0.4100 0.4100
Dy: 0.0000 0.0000 0.0000

---

From most stable to least stable, the computed energies give P), Q).

---

P) Material: PmSm7Dy12
Method: DFT, PBE
State: optimized geometry

Output
M_tot	0.00	μB per formula unit

a = 8.7351 Å, b = 8.7351 Å, c = 8.7351 Å
α = 95.00°, β = 95.00°, γ = 95.00°
Element x y z (fractional)
Pm: 0.0000 0.0000 0.0000
Sm: 0.9149 0.6454 0.9811
Sm: 0.3546 0.0189 0.0851
Sm: 0.0189 0.0851 0.3546
Sm: 0.5000 0.5000 0.5000
Sm: 0.9811 0.9149 0.6454
Sm: 0.6454 0.9811 0.9149
Sm: 0.0851 0.3546 0.0189
Dy: 0.8137 0.2510 0.6822
Dy: 0.7490 0.3178 0.1863
Dy: 0.4808 0.1471 0.4156
Dy: 0.8529 0.5844 0.5192
Dy: 0.3178 0.1863 0.7490
Dy: 0.5844 0.5192 0.8529
Dy: 0.4156 0.4808 0.1471
Dy: 0.6822 0.8137 0.2510
Dy: 0.1471 0.4156 0.4808
Dy: 0.5192 0.8529 0.5844
Dy: 0.2510 0.6822 0.8137
Dy: 0.1863 0.7490 0.3178

---

Q) Material: PmSm7Dy12
Method: DFT, PBE
State: optimized geometry

Output
M_tot	0.00	μB per formula unit

a = 9.7847 Å, b = 9.7847 Å, c = 9.7847 Å
α = 109.47°, β = 109.47°, γ = 109.47°
Element x y z (fractional)
Pm: 0.0000 0.0000 0.0000
Sm: 0.5000 0.5000 0.0000
Sm: 0.0000 0.5000 0.5000
Sm: 0.5000 0.0000 0.5000
Sm: 0.5000 0.5000 0.5000
Sm: 0.0000 0.0000 0.5000
Sm: 0.5000 0.0000 0.0000
Sm: 0.0000 0.5000 0.0000
Dy: 0.4989 0.7491 0.7498
Dy: 0.9992 0.7491 0.2502
Dy: 0.5011 0.2509 0.2502
Dy: 0.0008 0.2509 0.7498
Dy: 0.7498 0.0008 0.2509
Dy: 0.7498 0.4989 0.7491
Dy: 0.2502 0.9992 0.7491
Dy: 0.2502 0.5011 0.2509
Dy: 0.7491 0.7498 0.4989
Dy: 0.2509 0.2502 0.5011
Dy: 0.7491 0.2502 0.9992
Dy: 0.2509 0.7498 0.0008

---

From most stable to least stable, the computed energies give P), Q).

---

P) Material: Pm5Sm4Dy2
Method: DFT, PBE
State: optimized geometry

Output
M_tot	0.00	μB per formula unit

a = 3.5595 Å, b = 11.5609 Å, c = 11.0682 Å
α = 121.48°, β = 99.25°, γ = 90.00°
Element x y z (fractional)
Pm: 0.1790 0.4709 0.3581
Pm: 0.8210 0.5291 0.6419
Pm: 0.1790 0.8872 0.3581
Pm: 0.5000 0.0000 0.0000
Pm: 0.8210 0.1128 0.6419
Sm: 0.5890 0.5890 0.1781
Sm: 0.0000 0.2640 0.0000
Sm: 0.4110 0.4110 0.8219
Sm: 0.0000 0.7360 0.0000
Dy: 0.7967 0.7967 0.5933
Dy: 0.2033 0.2033 0.4067

---

Q) Material: Pm5Sm4Dy2
Method: DFT, PBE
State: optimized geometry

Output
M_tot	0.00	μB per formula unit

a = 3.5699 Å, b = 11.7302 Å, c = 9.0889 Å
α = 93.96°, β = 101.33°, γ = 90.00°
Element x y z (fractional)
Pm: 0.9035 0.4627 0.8071
Pm: 0.0965 0.5373 0.1929
Pm: 0.8225 0.9280 0.6449
Pm: 0.5000 0.0000 0.0000
Pm: 0.1775 0.0720 0.3551
Sm: 0.3590 0.2038 0.7181
Sm: 0.9630 0.7387 0.9259
Sm: 0.6410 0.7962 0.2819
Sm: 0.0370 0.2613 0.0741
Dy: 0.7157 0.3557 0.4315
Dy: 0.2843 0.6443 0.5685

---

From most stable to least stable, the computed energies give Q), P).

---

P) Material: PmSm6Dy12
Method: DFT, PBE
State: optimized geometry

Output
M_tot	0.00	μB per formula unit

a = 8.7273 Å, b = 8.7273 Å, c = 8.7273 Å
α = 98.65°, β = 98.65°, γ = 98.65°
Element x y z (fractional)
Pm: 0.0000 0.0000 0.0000
Sm: 0.9015 0.3443 0.9015
Sm: 0.9015 0.9015 0.3443
Sm: 0.3443 0.9015 0.9015
Sm: 0.0985 0.0985 0.6557
Sm: 0.0985 0.6557 0.0985
Sm: 0.6557 0.0985 0.0985
Dy: 0.7578 0.2422 0.5000
Dy: 0.3560 0.0823 0.3560
Dy: 0.3560 0.3560 0.0823
Dy: 0.9177 0.6440 0.6440
Dy: 0.6440 0.6440 0.9177
Dy: 0.6440 0.9177 0.6440
Dy: 0.5000 0.7578 0.2422
Dy: 0.2422 0.5000 0.7578
Dy: 0.2422 0.7578 0.5000
Dy: 0.5000 0.2422 0.7578
Dy: 0.7578 0.5000 0.2422
Dy: 0.0823 0.3560 0.3560

---

Q) Material: PmSm6Dy12
Method: DFT, PBE
State: optimized geometry

Output
M_tot	0.00	μB per formula unit

a = 8.8572 Å, b = 8.8572 Å, c = 8.8572 Å
α = 99.44°, β = 99.44°, γ = 99.44°
Element x y z (fractional)
Pm: 0.0000 0.0000 0.0000
Sm: 0.7444 0.2097 0.2097
Sm: 0.2097 0.2097 0.7444
Sm: 0.2097 0.7444 0.2097
Sm: 0.7903 0.7903 0.2556
Sm: 0.2556 0.7903 0.7903
Sm: 0.7903 0.2556 0.7903
Dy: 0.8831 0.1169 0.5000
Dy: 0.8195 0.5341 0.5341
Dy: 0.5341 0.5341 0.8195
Dy: 0.4659 0.1805 0.4659
Dy: 0.4659 0.4659 0.1805
Dy: 0.1805 0.4659 0.4659
Dy: 0.1169 0.5000 0.8831
Dy: 0.5000 0.8831 0.1169
Dy: 0.1169 0.8831 0.5000
Dy: 0.8831 0.5000 0.1169
Dy: 0.5000 0.1169 0.8831
Dy: 0.5341 0.8195 0.5341

---

From most stable to least stable, the computed energies give P), Q).

---

P) Material: PmSm3Dy6
Method: DFT, PBE
State: optimized geometry

Output
M_tot	0.00	μB per formula unit

a = 9.9076 Å, b = 9.9076 Å, c = 6.9130 Å
α = 44.23°, β = 44.23°, γ = 60.00°
Element x y z (fractional)
Pm: 0.8996 0.8996 0.3011
Sm: 0.3996 0.3996 0.8012
Sm: 0.6489 0.6489 0.0533
Sm: 0.1499 0.1499 0.5503
Dy: 0.9004 0.5725 0.2991
Dy: 0.2280 0.9004 0.2991
Dy: 0.5725 0.2280 0.2991
Dy: 0.0728 0.4005 0.7990
Dy: 0.7277 0.0728 0.7990
Dy: 0.4005 0.7277 0.7990

---

Q) Material: PmSm3Dy6
Method: DFT, PBE
State: optimized geometry

Output
M_tot	0.00	μB per formula unit

a = 6.2794 Å, b = 10.9856 Å, c = 10.9856 Å
α = 119.64°, β = 90.00°, γ = 90.00°
Element x y z (fractional)
Pm: 0.1352 0.2009 0.7991
Pm: 0.6352 0.7991 0.2009
Sm: 0.4608 0.9381 0.7147
Sm: 0.9608 0.7147 0.9381
Sm: 0.0701 0.3891 0.6109
Sm: 0.5701 0.6109 0.3891
Sm: 0.9608 0.0619 0.2853
Sm: 0.4608 0.2853 0.0619
Dy: 0.0408 0.7114 0.6194
Dy: 0.5408 0.6194 0.7114
Dy: 0.3704 0.5345 0.9547
Dy: 0.8704 0.9547 0.5345
Dy: 0.3928 0.9574 0.0426
Dy: 0.6432 0.2780 0.7220
Dy: 0.1432 0.7220 0.2780
Dy: 0.8928 0.0426 0.9574
Dy: 0.3704 0.0453 0.4655
Dy: 0.8704 0.4655 0.0453
Dy: 0.0408 0.3806 0.2886
Dy: 0.5408 0.2886 0.3806

---

From most stable to least stable, the computed energies give Q), P).